Material: Os4I
Method: DFT, PBE
State: optimized geometry

## Properties
SG = No. 221
raw formation energy = 3.40 eV/atom

Lattice parameters (Å, degrees): 4.7191 4.7191 4.7191 90.00 90.00 90.00
Last column: nearest neighbours and their distance in Å.
Fractional coordinates of all 5 atoms:
Os1 0.0000 0.0000 0.0000  12 Os 3.34
Os2 0.0000 0.5000 0.5000  2 I 2.36
Os3 0.5000 0.0000 0.5000  2 I 2.36
Os4 0.5000 0.5000 0.0000  2 I 2.36
I1 0.5000 0.5000 0.5000  6 Os 2.36

---

Material: PAu2Br
Method: DFT, PBE
State: optimized geometry

## Properties
SG = No. 225
raw formation energy = 0.80 eV/atom

Lattice parameters (Å, degrees): 6.8012 6.8012 6.8012 90.00 90.00 90.00
Last column: nearest neighbours and their distance in Å.
Fractional coordinates of all 16 atoms:
P1 0.0000 0.0000 0.0000  8 Au 2.95
P2 0.0000 0.5000 0.5000  8 Au 2.95
P3 0.5000 0.0000 0.5000  8 Au 2.95
P4 0.5000 0.5000 0.0000  8 Au 2.95
Au1 0.2500 0.2500 0.2500  4 Br 2.95, 4 P 2.95
Au2 0.2500 0.2500 0.7500  4 Br 2.95, 4 P 2.95
Au3 0.2500 0.7500 0.2500  4 Br 2.95, 4 P 2.95
Au4 0.2500 0.7500 0.7500  4 Br 2.95, 4 P 2.95
Au5 0.7500 0.2500 0.2500  4 Br 2.95, 4 P 2.95
Au6 0.7500 0.2500 0.7500  4 Br 2.95, 4 P 2.95
Au7 0.7500 0.7500 0.2500  4 Br 2.95, 4 P 2.95
Au8 0.7500 0.7500 0.7500  4 Br 2.95, 4 P 2.95
Br1 0.0000 0.0000 0.5000  8 Au 2.95
Br2 0.0000 0.5000 0.0000  8 Au 2.95
Br3 0.5000 0.0000 0.0000  8 Au 2.95
Br4 0.5000 0.5000 0.5000  8 Au 2.95

---

Material: TlW
Method: DFT, PBE
State: optimized geometry

## Properties
SG = No. 12
DFT formation energy = 0.727 eV/atom

Lattice parameters (Å, degrees): 9.6850 3.1849 9.5074 90.00 107.16 90.00
Last column: nearest neighbours and their distance in Å.
Fractional coordinates of all 12 atoms:
Tl1 0.0000 0.0000 0.0000  8 Tl 3.18-3.37
Tl2 0.1617 0.5000 0.7793  5 W 3.10-3.21, 5 Tl 3.18-3.37
Tl3 0.3383 0.0000 0.2207  5 W 3.10-3.21, 5 Tl 3.18-3.37
Tl4 0.5000 0.5000 0.0000  8 Tl 3.18-3.37
Tl5 0.6617 0.0000 0.7793  5 W 3.10-3.21, 5 Tl 3.18-3.37
Tl6 0.8383 0.5000 0.2207  5 W 3.10-3.21, 5 Tl 3.18-3.37
W1 0.0000 0.0000 0.5000  4 W 2.68
W2 0.1745 0.5000 0.4032  4 W 2.54-2.68
W3 0.3255 0.0000 0.5968  4 W 2.54-2.68
W4 0.5000 0.5000 0.5000  4 W 2.68
W5 0.6745 0.0000 0.4032  4 W 2.54-2.68
W6 0.8255 0.5000 0.5968  4 W 2.54-2.68

---

Material: Tl2Bi2S7
Method: DFT, PBE
State: optimized geometry

## Properties
SG = No. 44
raw formation energy = -0.07 eV/atom

Lattice parameters (Å, degrees): 9.9262 9.9262 9.9262 156.42 57.20 128.70
Last column: nearest neighbours and their distance in Å.
Fractional coordinates of all 11 atoms:
Tl1 0.2117 0.0000 0.2117  5 S 2.95-3.10
Tl2 0.7883 0.0000 0.7883  5 S 2.95-3.10
Bi1 0.2045 0.2045 0.0000  6 S 2.76-2.91
Bi2 0.7205 0.2205 0.5000  1 S 2.56
S1 0.1379 0.5468 0.5911  3 Bi 2.91-3.22, 2 Tl 2.95, 1 S 3.18
S2 0.3055 0.4695 0.8360  1 S 2.02
S3 0.4232 0.9232 0.5000  3 Bi 2.56-2.76
S4 0.5671 0.6891 0.8780  1 S 2.02
S5 0.6336 0.4695 0.1640  1 S 2.02
S6 0.8111 0.6891 0.1220  1 S 2.02
S7 0.9556 0.5468 0.4089  3 Bi 2.91-3.22, 2 Tl 2.95, 1 S 3.18

---

Calculated total energy per entry: -29.5; -41.8; -83.2; -42.1 eV/cell